1.
Computed, not measured: ZnCr3P at its PBEsol-relaxed geometry at the SCAN level of DFT.

Calculated values
The formation energy is 1.1151 eV/atom. The space group is No. 221. For the electronic total energy, the calculation gives -14.6984 eV per atom. Its polymorph energy (0 for the lowest one) is 761 meV per atom.

abc: 4.4813 4.4813 4.4813
angles: 90.00 90.00 90.00
Last column: nearest neighbours and their distance in Å.
Atoms (fractional coordinates):
Cr  0.5000  0.0000  0.0000  2 Zn 2.24
Cr  0.0000  0.0000  0.5000  2 Zn 2.24
Cr  0.0000  0.5000  0.0000  2 Zn 2.24
P  0.5000  0.5000  0.5000  12 Cr 3.17
Zn  0.0000  0.0000  0.0000  6 Cr 2.24

---

2.
Computed, not measured: ZnCr3P at its PBEsol-relaxed geometry at the SCAN level of DFT.

Calculated values
The formation energy is 0.3546 eV/atom. The space group is No. 221. For the electronic total energy, the calculation gives -15.4589 eV per atom. Its polymorph energy (0 for the lowest one) is 0 meV per atom.

abc: 4.2487 4.2487 4.2487
angles: 90.00 90.00 90.00
Last column: nearest neighbours and their distance in Å.
Atoms (fractional coordinates):
Zn  0.5000  0.5000  0.5000  12 Cr 3.00
Cr  0.5000  0.0000  0.0000  2 P 2.12
Cr  0.0000  0.0000  0.5000  2 P 2.12
Cr  0.0000  0.5000  0.0000  2 P 2.12
P  0.0000  0.0000  0.0000  6 Cr 2.12

---

3.
Computed, not measured: ZnCr2P at its PBEsol-relaxed geometry at the SCAN level of DFT.

Calculated values
The formation energy is 0.1570 eV/atom. The space group is No. 216. For the electronic total energy, the calculation gives -15.0138 eV per atom. Its polymorph energy (0 for the lowest one) is 197 meV per atom.

abc: 4.0659 4.0659 4.0659
angles: 60.00 60.00 60.00
Last column: nearest neighbours and their distance in Å.
Atoms (fractional coordinates):
Cr  0.7500  0.7500  0.7500  4 Cr 2.49, 4 P 2.49
Cr  0.0000  0.0000  0.0000  4 Cr 2.49, 4 Zn 2.49
P  0.5000  0.5000  0.5000  4 Zn 2.49, 4 Cr 2.49
Zn  0.2500  0.2500  0.2500  4 Cr 2.49, 4 P 2.49

---

4.
Computed, not measured: ZrCrP2 at its PBEsol-relaxed geometry at the SCAN level of DFT.

Calculated values
The formation energy is -0.4355 eV/atom. The space group is No. 225. For the electronic total energy, the calculation gives -17.9056 eV per atom. Its polymorph energy (0 for the lowest one) is 512 meV per atom.

abc: 4.3020 4.3020 4.3020
angles: 60.00 60.00 60.00
Last column: nearest neighbours and their distance in Å.
Atoms (fractional coordinates):
P  0.2500  0.2500  0.2500  4 Cr 2.63, 4 Zr 2.63
P  0.7500  0.7500  0.7500  4 Zr 2.63, 4 Cr 2.63
Zr  0.5000  0.5000  0.5000  8 P 2.63
Cr  0.0000  0.0000  0.0000  8 P 2.63

---

5.
Computed, not measured: ZrCr2P at its PBEsol-relaxed geometry at the SCAN level of DFT.

Calculated values
The formation energy is -0.0667 eV/atom. The space group is No. 10. For the electronic total energy, the calculation gives -19.5334 eV per atom.

abc: 3.2247 4.2122 4.2454
angles: 90.00 92.75 90.00
Last column: nearest neighbours and their distance in Å.
Atoms (fractional coordinates):
Cr  0.6398  0.0000  0.7614  2 Cr 2.26-2.36, 2 P 2.39
Cr  0.3602  0.0000  0.2386  2 Cr 2.26-2.36, 2 P 2.39
P  0.5000  0.5000  0.0000  4 Cr 2.39, 2 Zr 2.60
Zr  0.0000  0.5000  0.5000  4 P 2.60-2.73, 4 Cr 2.67

---

6.
Computed, not measured: ZrCrP4 at its PBEsol-relaxed geometry at the SCAN level of DFT.

Calculated values
The formation energy is 0.2563 eV/atom. The space group is No. 216. For the electronic total energy, the calculation gives -14.8567 eV per atom.

abc: 5.0040 5.0040 5.0040
angles: 60.00 60.00 60.00
Last column: nearest neighbours and their distance in Å.
Atoms (fractional coordinates):
P  0.3740  0.3740  0.3740  6 P 2.48-2.52
P  0.8779  0.3740  0.3740  6 P 2.48-2.52
P  0.3740  0.8779  0.3740  6 P 2.48-2.52
P  0.3740  0.3740  0.8779  6 P 2.48-2.52
Zr  0.7500  0.7500  0.7500  12 P 2.94, 4 Cr 3.06
Cr  0.0000  0.0000  0.0000  12 P 2.93, 4 Zr 3.06

---

7.
Computed, not measured: ZrCr2P at its PBEsol-relaxed geometry at the SCAN level of DFT.

Calculated values
The formation energy is -0.1806 eV/atom. The space group is No. 166. For the electronic total energy, the calculation gives -19.6472 eV per atom.

abc: 4.1976 4.1976 4.2061
angles: 60.07 60.07 60.00
Last column: nearest neighbours and their distance in Å.
Atoms (fractional coordinates):
Cr  0.7500  0.7500  0.7500  4 Zr 2.57-2.58, 4 P 2.57-2.58
Cr  0.2500  0.2500  0.2500  4 Zr 2.57-2.58, 4 P 2.57-2.58
P  0.5000  0.5000  0.5000  8 Cr 2.57-2.58
Zr  0.0000  0.0000  0.0000  8 Cr 2.57-2.58

---

8.
Computed, not measured: ZrCrP2 at its PBEsol-relaxed geometry at the SCAN level of DFT.

Calculated values
The formation energy is -0.9473 eV/atom. The space group is No. 166. For the electronic total energy, the calculation gives -18.4175 eV per atom. Its polymorph energy (0 for the lowest one) is 0 meV per atom.

abc: 3.6308 3.6289 5.7697
angles: 108.35 90.00 120.02
Last column: nearest neighbours and their distance in Å.
Atoms (fractional coordinates):
Cr  0.5000  0.0000  0.0000  6 P 2.38
P  0.7630  0.5260  0.7889  3 Cr 2.38, 3 Zr 2.61
P  0.2370  0.4740  0.2111  3 Cr 2.38, 3 Zr 2.61
Zr  0.0000  0.0000  0.5000  6 P 2.61